(1)
# BaTi2Pt2

Crystalline BaTi2Pt2 at its relaxed geometry (PBE, the Alexandria database).

Summary:
Crystal system: tetragonal
SG: No. 127

a = 8.1453 Å, b = 8.1453 Å, c = 2.9411 Å
α = 90.00°, β = 90.00°, γ = 90.00°
Closest atoms and distances in Å follow each position.
Sites, in units of the cell vectors:
Ba1 0.0000 0.0000 0.0000  2 Ba 2.94, 4 Ti 3.13
Ba2 0.5000 0.5000 0.0000  2 Ba 2.94, 4 Ti 3.13
Pt1 0.1423 0.6423 0.5000  6 Ti 2.76-2.87, 2 Pt 2.94
Pt2 0.6423 0.8577 0.5000  6 Ti 2.76-2.87, 2 Pt 2.94
Pt3 0.8577 0.3577 0.5000  6 Ti 2.76-2.87, 2 Pt 2.94
Pt4 0.3577 0.1423 0.5000  6 Ti 2.76-2.87, 2 Pt 2.94
Ti1 0.3562 0.8562 0.0000  6 Pt 2.76-2.87, 2 Ti 2.94
Ti2 0.8562 0.6438 0.0000  6 Pt 2.76-2.87, 2 Ti 2.94
Ti3 0.6438 0.1438 0.0000  6 Pt 2.76-2.87, 2 Ti 2.94
Ti4 0.1438 0.3562 0.0000  6 Pt 2.76-2.87, 2 Ti 2.94

=====

(2)
# ZnPAu2

Crystalline ZnPAu2 at its relaxed geometry (PBE, the Alexandria database).

Summary:
Crystal system: orthorhombic
SG: No. 69

a = 5.0237 Å, b = 5.0237 Å, c = 5.0176 Å
α = 132.67°, β = 132.66°, γ = 69.28°
Closest atoms and distances in Å follow each position.
Sites, in units of the cell vectors:
Zn1 0.5000 0.0000 0.5000  4 P 2.84-2.86, 8 Au 2.88-2.89
P1 0.0000 0.5000 0.5000  4 Zn 2.84-2.86, 8 Au 2.88-2.89
Au1 0.7505 0.7505 0.0000  4 Au 2.84-2.86, 4 P 2.88-2.89, 4 Zn 2.88-2.89
Au2 0.2495 0.2495 0.0000  4 Au 2.84-2.86, 4 P 2.88-2.89, 4 Zn 2.88-2.89

=====

(3)
# RbZn2Cd2

Crystalline RbZn2Cd2 at its relaxed geometry (PBE, the Alexandria database).

Summary:
Crystal system: tetragonal
SG: No. 139

a = 4.8960 Å, b = 4.8960 Å, c = 6.6178 Å
α = 68.29°, β = 68.29°, γ = 90.00°
Closest atoms and distances in Å follow each position.
Sites, in units of the cell vectors:
Zn1 0.3824 0.3824 0.2351  1 Zn 2.65, 4 Cd 2.87
Zn2 0.6176 0.6176 0.7649  1 Zn 2.65, 4 Cd 2.87
Rb1 0.0000 0.0000 0.0000  8 Zn 3.71, 8 Cd 3.73
Cd1 0.7500 0.2500 0.5000  4 Zn 2.87
Cd2 0.2500 0.7500 0.5000  4 Zn 2.87

=====

(4)
# MnMo2W

Crystalline MnMo2W at its relaxed geometry (PBE, the Alexandria database).

Summary:
Crystal system: orthorhombic
SG: No. 71

a = 5.1101 Å, b = 5.1101 Å, c = 5.1101 Å
α = 144.09°, β = 128.99°, γ = 63.95°
Closest atoms and distances in Å follow each position.
Sites, in units of the cell vectors:
Mn1 0.7500 0.2500 0.5000  4 Mo 2.69, 4 W 2.71
Mo1 0.0010 0.0010 0.0000  2 W 2.67, 2 Mn 2.69, 4 Mo 2.71
Mo2 0.4990 0.4990 0.0000  2 W 2.67, 2 Mn 2.69, 4 Mo 2.71
W1 0.2500 0.7500 0.5000  4 Mo 2.67, 4 Mn 2.71

=====

| no. | formation energy from the elements (eV per atom) | total magnetic moment (μB/f.u.) |
| --- | --- | --- |
| 1 | -0.425 | 0.56 |
| 2 | 0.185 | 0.00 |
| 3 | 0.028 | 0.00 |
| 4 | 0.106 | 1.66 |